(1)
Here is AlMoAs2 after structural relaxation from Alexandria. Energies are from GGA-PBE.

a = 5.156 Å, b = 5.156 Å, c = 5.156 Å
α = 142.12°, β = 128.51°, γ = 65.67°
Positions (direct):
As1 0.007 0.007 0.000
Al1 0.242 0.742 0.500
Mo1 0.502 0.502 0.000
As2 0.749 0.249 0.500

Properties
crystal system = orthorhombic
E = -5.835 eV per atom
E_form = 0.1332 eV/atom
total moment = 0.000 μB per formula unit
volume = 65 Å³/cell

***

(2)
Here is SrSc2Ta after structural relaxation from Alexandria. Energies are from GGA-PBE.

a = 5.216 Å, b = 5.216 Å, c = 5.216 Å
α = 60.00°, β = 60.00°, γ = 60.00°
Positions (direct):
Ta1 0.500 0.500 0.500
Sc1 0.250 0.250 0.250
Sc2 0.750 0.750 0.750
Sr1 0.000 0.000 0.000

Properties
crystal system = cubic
E = -5.920 eV per atom
E_form = 0.6297 eV/atom
total moment = 1.324 μB per formula unit
volume = 100 Å³/cell

***

(3)
Here is Li2NpAgI6 after structural relaxation from Alexandria. Energies are from GGA-PBE.

a = 7.719 Å, b = 7.823 Å, c = 12.039 Å
α = 90.00°, β = 89.94°, γ = 90.00°
Positions (direct):
Np1 0.000 0.500 0.500
Li1 0.529 0.511 0.738
I1 0.870 0.378 0.736
I2 0.155 0.835 0.591
I3 0.630 0.878 0.764
I4 0.345 0.335 0.909
I5 0.652 0.679 0.435
Ag1 0.500 0.000 0.500
I6 0.845 0.165 0.409
I7 0.348 0.321 0.565
Li2 0.029 0.989 0.238
I8 0.130 0.622 0.264
I9 0.655 0.665 0.091
Li3 0.971 0.011 0.762
I10 0.152 0.821 0.935
Li4 0.471 0.489 0.262
Np2 0.500 0.000 0.000
Ag2 0.000 0.500 0.000
I11 0.370 0.122 0.236
I12 0.848 0.179 0.065

Properties
crystal system = monoclinic
formation energy from raw total energies = -8.02 eV per formula unit
E = -3.694 eV per atom
total moment = 4.000 μB per formula unit
volume = 727 Å³/cell

***

(4)
Here is KAl3B4O12 after structural relaxation from Alexandria. Energies are from GGA-PBE.

a = 6.001 Å, b = 6.001 Å, c = 6.001 Å
α = 103.39°, β = 103.39°, γ = 103.39°
Positions (direct):
B1 0.500 0.943 0.057
B2 0.057 0.500 0.943
O1 0.023 0.600 0.761
Al1 0.000 0.560 0.440
Al2 0.560 0.440 0.000
O2 0.977 0.239 0.400
B3 0.500 0.500 0.500
K1 0.000 0.000 0.000
O3 0.909 0.500 0.091
O4 0.400 0.977 0.239
O5 0.500 0.091 0.909
O6 0.600 0.761 0.023
Al3 0.440 0.000 0.560
O7 0.761 0.023 0.600
O8 0.352 0.648 0.500
O9 0.091 0.909 0.500
O10 0.239 0.400 0.977
O11 0.648 0.500 0.352
O12 0.500 0.352 0.648
B4 0.943 0.057 0.500

Properties
crystal system = trigonal
formation energy from raw total energies = -47.95 eV per formula unit
E = -7.324 eV per atom
total moment = 2.056 μB per formula unit
volume = 195 Å³/cell

***

(5)
Here is PmZrPa2N4 after structural relaxation from Alexandria. Energies are from GGA-PBE.

a = 3.478 Å, b = 6.030 Å, c = 5.977 Å
α = 109.54°, β = 90.00°, γ = 90.00°
Positions (direct):
N1 0.000 0.230 0.738
N2 0.000 0.770 0.262
Pm1 0.500 0.500 0.000
Pa1 0.000 0.500 0.500
N3 0.500 0.237 0.251
Zr1 0.000 0.000 0.000
N4 0.500 0.763 0.749
Pa2 0.500 0.000 0.500

Properties
crystal system = monoclinic
formation energy from raw total energies = -12.71 eV per formula unit
E = -9.788 eV per atom
total moment = 0.000 μB per formula unit
volume = 118 Å³/cell

***

(6)
Here is CrSbS2 after structural relaxation from Alexandria. Energies are from GGA-PBE.

a = 6.022 Å, b = 6.022 Å, c = 6.518 Å
α = 62.49°, β = 62.49°, γ = 90.00°
Positions (direct):
Cr1 0.250 0.750 0.500
Sb1 0.000 0.000 0.000
S1 0.375 0.464 0.750
S2 0.875 0.786 0.750
S3 0.214 0.625 0.250
Sb2 0.750 0.250 0.500
Cr2 0.500 0.500 0.000
S4 0.536 0.125 0.250

Properties
crystal system = tetragonal
formation energy from raw total energies = 0.24 eV per formula unit
E = -5.441 eV per atom
total moment = 0.000 μB per formula unit
volume = 179 Å³/cell

***

(7)
Here is Pu3Cd3Au2 after structural relaxation from Alexandria. Energies are from GGA-PBE.

a = 4.865 Å, b = 5.024 Å, c = 8.506 Å
α = 107.18°, β = 106.71°, γ = 90.00°
Positions (direct):
Au1 0.757 0.756 0.511
Cd1 0.139 0.639 0.278
Cd2 0.500 0.500 0.000
Pu1 0.368 0.866 0.733
Au2 0.243 0.244 0.489
Pu2 0.632 0.134 0.267
Cd3 0.861 0.361 0.722
Pu3 0.000 0.000 0.000

Properties
crystal system = monoclinic
E = -6.707 eV per atom
E_form = -0.1698 eV/atom
total moment = 17.498 μB per formula unit
volume = 189 Å³/cell

***

(8)
Here is LiCeIr after structural relaxation from Alexandria. Energies are from GGA-PBE.

a = 3.916 Å, b = 3.916 Å, c = 7.728 Å
α = 90.00°, β = 90.00°, γ = 90.00°
Positions (direct):
Li1 0.750 0.750 0.000
Ir1 0.750 0.250 0.274
Ce1 0.750 0.250 0.667
Ir2 0.250 0.750 0.726
Ce2 0.250 0.750 0.333
Li2 0.250 0.250 0.000

Properties
crystal system = tetragonal
E = -6.151 eV per atom
E_form = -0.5813 eV/atom
total moment = 0.000 μB per formula unit
volume = 119 Å³/cell

***

(9)
Here is Zn2TeP after structural relaxation from Alexandria. Energies are from GGA-PBE.

a = 6.314 Å, b = 6.314 Å, c = 6.314 Å
α = 145.01°, β = 145.01°, γ = 50.32°
Positions (direct):
Zn1 0.250 0.750 0.500
Te1 0.750 0.250 0.500
P1 0.500 0.500 0.000
Zn2 0.000 0.000 0.000

Properties
crystal system = tetragonal
formation energy from raw total energies = 1.33 eV per formula unit
E = -2.443 eV per atom
total moment = 0.000 μB per formula unit
volume = 82 Å³/cell

***

(10)
Here is Lu2CoSn after structural relaxation from Alexandria. Energies are from GGA-PBE.

a = 3.778 Å, b = 4.801 Å, c = 4.801 Å
α = 90.00°, β = 90.00°, γ = 90.00°
Positions (direct):
Lu1 0.000 0.500 0.000
Lu2 0.000 0.000 0.500
Co1 0.500 0.500 0.500
Sn1 0.500 0.000 0.000

Properties
crystal system = tetragonal
E = -5.354 eV per atom
E_form = -0.3165 eV/atom
total moment = 1.041 μB per formula unit
volume = 87 Å³/cell

***

(11)
Here is ZrInW2 after structural relaxation from Alexandria. Energies are from GGA-PBE.

a = 3.244 Å, b = 3.244 Å, c = 7.301 Å
α = 90.00°, β = 90.00°, γ = 90.00°
Positions (direct):
W1 0.000 0.000 0.032
Zr1 0.000 0.000 0.475
In1 0.500 0.500 0.773
W2 0.500 0.500 0.220

Properties
crystal system = tetragonal
E = -9.180 eV per atom
E_form = 0.1186 eV/atom
total moment = 0.000 μB per formula unit
volume = 77 Å³/cell

***

(12)
Here is ZnAs2Pd7 after structural relaxation from Alexandria. Energies are from GGA-PBE.

a = 4.014 Å, b = 4.014 Å, c = 10.484 Å
α = 101.04°, β = 101.04°, γ = 90.00°
Positions (direct):
Zn1 0.000 0.000 0.000
Pd1 0.750 0.250 0.500
Pd2 0.596 0.096 0.193
Pd3 0.500 0.500 0.000
Pd4 0.250 0.750 0.500
As1 0.330 0.330 0.661
Pd5 0.404 0.904 0.807
Pd6 0.096 0.596 0.193
As2 0.670 0.670 0.339
Pd7 0.904 0.404 0.807

Properties
crystal system = tetragonal
E = -5.074 eV per atom
E_form = -0.3822 eV/atom
total moment = 0.000 μB per formula unit
volume = 163 Å³/cell

***

(13)
Here is ReTe2BrN after structural relaxation from Alexandria. Energies are from GGA-PBE.

a = 5.496 Å, b = 5.496 Å, c = 3.749 Å
α = 90.00°, β = 90.00°, γ = 90.00°
Positions (direct):
Br1 0.500 0.500 0.500
Te1 0.000 0.500 0.000
Te2 0.500 0.000 0.000
N1 0.000 0.000 0.500
Re1 0.000 0.000 0.000

Properties
crystal system = tetragonal
formation energy from raw total energies = 1.85 eV per formula unit
E = -5.377 eV per atom
total moment = 0.000 μB per formula unit
volume = 113 Å³/cell

***

(14)
Here is KSr after structural relaxation from Alexandria. Energies are from GGA-PBE.

a = 4.321 Å, b = 7.143 Å, c = 8.084 Å
α = 90.00°, β = 90.00°, γ = 90.00°
Positions (direct):
Sr1 0.500 0.000 0.491
K1 0.500 0.500 0.827
Sr2 0.000 0.500 0.342
K2 0.000 0.000 0.006

Properties
crystal system = orthorhombic
E = -1.298 eV per atom
E_form = 0.0916 eV/atom
total moment = 0.000 μB per formula unit
volume = 249 Å³/cell

***

(15)
Here is LiYErCo after structural relaxation from Alexandria. Energies are from GGA-PBE.

a = 4.846 Å, b = 4.846 Å, c = 4.846 Å
α = 60.00°, β = 60.00°, γ = 60.00°
Positions (direct):
Co1 0.500 0.500 0.500
Y1 0.750 0.750 0.750
Er1 0.250 0.250 0.250
Li1 0.000 0.000 0.000

Properties
crystal system = cubic
E = -5.095 eV per atom
E_form = -0.0834 eV/atom
total moment = 0.000 μB per formula unit
volume = 80 Å³/cell

***

(16)
Here is KBe2Se after structural relaxation from Alexandria. Energies are from GGA-PBE.

a = 4.926 Å, b = 2.828 Å, c = 5.879 Å
α = 86.31°, β = 90.00°, γ = 90.00°
Positions (direct):
Be1 0.000 0.539 0.613
K1 0.500 0.250 0.250
Be2 0.000 0.961 0.887
Se1 0.500 0.750 0.750

Properties
crystal system = monoclinic
formation energy from raw total energies = 2.07 eV per formula unit
E = -2.492 eV per atom
total moment = 0.000 μB per formula unit
volume = 82 Å³/cell

***

(17)
Here is NdDyHoTh after structural relaxation from Alexandria. Energies are from GGA-PBE.

a = 3.599 Å, b = 3.598 Å, c = 11.753 Å
α = 90.00°, β = 98.83°, γ = 119.99°
Positions (direct):
Dy1 0.475 0.135 0.625
Ho1 0.131 0.964 0.109
Th1 0.302 0.549 0.867
Nd1 0.969 0.383 0.368

Properties
crystal system = trigonal
E = -5.329 eV per atom
E_form = 0.0133 eV/atom
total moment = 0.001 μB per formula unit
volume = 130 Å³/cell

***

(18)
Here is Hf2Ti2Ga7 after structural relaxation from Alexandria. Energies are from GGA-PBE.

a = 6.543 Å, b = 5.066 Å, c = 6.543 Å
α = 107.43°, β = 104.33°, γ = 72.57°
Positions (direct):
Ga1 0.873 0.846 0.510
Ti1 0.745 0.363 0.255
Ga2 0.510 0.154 0.873
Ga3 0.488 0.751 0.512
Hf1 0.814 0.500 0.814
Ti2 0.255 0.637 0.745
Ga4 0.000 0.000 0.000
Ga5 0.490 0.846 0.127
Ga6 0.512 0.249 0.488
Hf2 0.186 0.500 0.186
Ga7 0.127 0.154 0.490

Properties
crystal system = monoclinic
E = -5.375 eV per atom
E_form = -0.2034 eV/atom
total moment = 0.000 μB per formula unit
volume = 194 Å³/cell

***

(19)
Here is La2GaAg3 after structural relaxation from Alexandria. Energies are from GGA-PBE.

a = 4.105 Å, b = 4.399 Å, c = 9.079 Å
α = 104.02°, β = 103.06°, γ = 90.00°
Positions (direct):
Ag1 0.699 0.699 0.398
Ga1 0.460 0.960 0.920
Ag2 0.304 0.804 0.608
La1 0.879 0.379 0.758
Ag3 0.538 0.538 0.076
La2 0.120 0.120 0.240

Properties
crystal system = orthorhombic
E = -3.890 eV per atom
E_form = -0.3178 eV/atom
total moment = 0.000 μB per formula unit
volume = 155 Å³/cell

***

(20)
Here is Ti4CrIr2 after structural relaxation from Alexandria. Energies are from GGA-PBE.

a = 5.282 Å, b = 5.282 Å, c = 5.282 Å
α = 110.58°, β = 108.92°, γ = 108.92°
Positions (direct):
Ti1 0.000 0.000 0.500
Ir1 0.500 0.500 0.000
Ti2 0.000 0.500 0.000
Cr1 0.000 0.000 0.000
Ti3 0.500 0.500 0.500
Ir2 0.500 0.000 0.500
Ti4 0.500 0.000 0.000

Properties
crystal system = tetragonal
E = -8.852 eV per atom
E_form = -0.4338 eV/atom
total moment = 0.000 μB per formula unit
volume = 113 Å³/cell